Entry from Alexandria: an optimized crystal structure of LiMg2InS4 (PBE).

- V (Å³/atom) = 23.27
- formation energy from raw total energies (eV/atom) = -1.1810

a b c (Å): 8.145 6.994 6.536
angles (deg): 90.00 90.00 90.00
Space group Pmn2_1 (No. 31)
Symmetry-distinct sites (fractional):
Li 0.000 0.164 0.000 x2
Mg 0.249 0.332 0.502 x4
In 0.000 0.831 0.503 x2
S 0.000 0.168 0.378 x2
S 0.000 0.830 0.885 x2
S 0.248 0.334 0.880 x4